(1)
A relaxed structure of KMgCu2. Source: Alexandria via LeMat-Bulk, functional GGA-PBE.

**Total energy**: -2.45 eV/atom
**Energy relative to the elements**: 0.269 eV per atom

```
4
Lattice="-2.2221 3.5257 -0.3084 -2.8310 -1.7675 0.1920 -1.3430 -0.2403 6.9295" Properties=species:S:1:pos:R:3 pbc="T T T"
K -1.9090 -0.9151 3.2936
Cu -1.8803 -0.5837 6.8739
Cu -1.6279 1.5432 1.0582
Mg -4.4090 0.2295 6.0776
```



(2)
A relaxed structure of KMg2Cu. Source: Alexandria via LeMat-Bulk, functional GGA-PBE.

**Total energy**: -1.88 eV/atom
**Energy relative to the elements**: 0.216 eV per atom

```
4
Lattice="-5.3902 -3.7205 -6.1774 -5.2747 -6.5002 -3.3138 -7.7778 -3.4064 -2.9929" Properties=species:S:1:pos:R:3 pbc="T T T"
K -13.8320 -10.2203 -9.3630
Mg -9.8682 -7.2914 -6.6798
Cu -4.6107 -3.4068 -3.1210
Mg -17.7959 -13.1491 -12.0462
```



(3)
A relaxed structure of K2MgCu. Source: Alexandria via LeMat-Bulk, functional GGA-PBE.

**Total energy**: -1.68 eV/atom
**Energy relative to the elements**: 0.295 eV per atom

```
8
Lattice="-2.0419 11.6699 2.8071 -5.2599 -3.4295 10.4312 -1.3849 4.2330 7.7988" Properties=species:S:1:pos:R:3 pbc="T T T"
K -2.9274 6.8187 9.1289
Cu -3.5389 10.0116 8.6125
Cu 0.0000 0.0000 0.0000
K -3.0173 13.2608 8.6860
Mg -5.1478 2.4619 12.4245
K -5.6010 10.1589 11.1738
K -2.6097 9.8079 5.4614
Mg -3.6509 4.1202 6.6191
```



(4)
A relaxed structure of KMgCu2. Source: Alexandria via LeMat-Bulk, functional GGA-PBE.

**Total energy**: -2.18 eV/atom
**Energy relative to the elements**: 0.542 eV per atom

```
4
Lattice="4.9195 0.0000 0.0000 2.4598 4.2604 0.0000 2.4598 1.4201 4.0168" Properties=species:S:1:pos:R:3 pbc="T T T"
Cu 2.4598 1.4201 1.0042
K 4.9195 2.8403 2.0084
Mg 7.3793 4.2604 3.0126
Cu 0.0000 0.0000 0.0000
```



(5)
A relaxed structure of KMg2Cu. Source: Alexandria via LeMat-Bulk, functional GGA-PBE.

**Total energy**: -1.92 eV/atom
**Energy relative to the elements**: 0.177 eV per atom

```
4
Lattice="-8.5316 0.1435 -1.4072 -7.7094 -1.1401 3.7489 7.9371 3.1772 -1.3028" Properties=species:S:1:pos:R:3 pbc="T T T"
Cu -8.3923 -0.5150 1.2100
K -5.1538 0.6953 1.9825
Mg -2.7291 1.5111 -1.0044
Mg -0.1493 -0.0092 0.0215
```



(6)
A relaxed structure of KMgCu2. Source: Alexandria via LeMat-Bulk, functional GGA-PBE.

**Total energy**: -2.39 eV/atom
**Energy relative to the elements**: 0.330 eV per atom

```
4
Lattice="-2.2381 -5.6988 -0.3195 0.8417 -3.3641 -5.0559 2.1260 2.9934 4.9099" Properties=species:S:1:pos:R:3 pbc="T T T"
Cu -0.4729 -4.0582 0.6905
K -0.7161 -4.6478 -2.7567
Mg 1.1956 -2.0558 -1.1824
Cu -1.3716 -8.9019 -5.2799
```



(7)
A relaxed structure of KMg2Cu. Source: Alexandria via LeMat-Bulk, functional GGA-PBE.

**Total energy**: -1.71 eV/atom
**Energy relative to the elements**: 0.387 eV per atom

```
4
Lattice="-3.1366 -3.8611 1.4377 -2.1869 0.0519 4.6934 -5.0876 0.8382 0.4766" Properties=species:S:1:pos:R:3 pbc="T T T"
Mg -7.8083 -2.2283 4.9557
Cu -5.2055 -1.4855 3.3038
K 0.0000 0.0000 0.0000
Mg -2.6028 -0.7428 1.6519
```



(8)
A relaxed structure of KMg4Cu. Source: Alexandria via LeMat-Bulk, functional GGA-PBE.

**Total energy**: -1.61 eV/atom
**Energy relative to the elements**: 0.321 eV per atom

```
6
Lattice="0.0000 4.2506 4.2506 4.2506 0.0000 4.2506 4.2506 4.2506 0.0000" Properties=species:S:1:pos:R:3 pbc="T T T"
Mg 3.2024 5.2987 5.2987
K 0.0000 0.0000 0.0000
Cu 6.3758 6.3758 6.3758
Mg 5.2987 5.2987 3.2024
Mg 3.2024 3.2024 3.2024
Mg 5.2987 3.2024 5.2987
```